# 1
Below is an optimized crystal structure of LiAc2TiSe6, with properties calculated at the PBE level.

Summary:
Its density of states at the Fermi level is 10.0 states/eV per cell. Its crystal system is monoclinic. The raw formation energy is -1.5074 eV per atom. Its space-group type is P2_1/c (14).

Cell: 6.4794 7.8292 10.0578 Å, 90.00 90.41 90.00°
Last column: nearest neighbours and their distance in Å.
Sites, in units of the cell vectors:
Li: 0.5000 0.0000 0.5000  6 Se 2.60-2.79
Li: 0.0000 0.5000 0.0000  6 Se 2.60-2.79
Ac: 0.0520 0.8963 0.2533  8 Se 3.11-3.33
Ac: 0.5520 0.6037 0.7533  8 Se 3.11-3.33
Ac: 0.9480 0.1037 0.7467  8 Se 3.11-3.33
Ac: 0.4480 0.3963 0.2467  8 Se 3.11-3.33
Ti: 0.5000 0.0000 0.0000  6 Se 2.54-2.60
Ti: 0.0000 0.5000 0.5000  6 Se 2.54-2.60
Se: 0.3359 0.7025 0.0424  1 Ti 2.60, 1 Li 2.72
Se: 0.8359 0.7975 0.5424  1 Ti 2.60, 1 Li 2.72
Se: 0.6641 0.2975 0.9576  1 Ti 2.60, 1 Li 2.72
Se: 0.1641 0.2025 0.4576  1 Ti 2.60, 1 Li 2.72
Se: 0.3312 0.6758 0.4583  1 Ti 2.59, 1 Li 2.79
Se: 0.8312 0.8242 0.9583  1 Ti 2.59, 1 Li 2.79
Se: 0.6688 0.3242 0.5417  1 Ti 2.59, 1 Li 2.79
Se: 0.1688 0.1758 0.0417  1 Ti 2.59, 1 Li 2.79
Se: 0.9171 0.5154 0.2526  1 Ti 2.54, 1 Li 2.60
Se: 0.4171 0.9846 0.7526  1 Ti 2.54, 1 Li 2.60
Se: 0.0829 0.4846 0.7474  1 Ti 2.54, 1 Li 2.60
Se: 0.5829 0.0154 0.2474  1 Ti 2.54, 1 Li 2.60


# 2
Below is an optimized crystal structure of Ho4TlTe5, with properties calculated at the PBE level.

Summary:
Its density of states at the Fermi level is 3.3 states/eV per cell. Its crystal system is monoclinic. The raw formation energy is -1.0514 eV per atom. Its space-group type is C2/m (12).

Cell: 4.3334 8.6226 10.5448 Å, 105.09 101.86 90.00°
Last column: nearest neighbours and their distance in Å.
Sites, in units of the cell vectors:
Ho: 0.3282 0.9706 0.6563  5 Te 2.99-3.09
Ho: 0.0348 0.7550 0.0696  4 Te 3.02-3.15, 2 Tl 3.24
Ho: 0.6718 0.0294 0.3437  5 Te 2.99-3.09
Ho: 0.9652 0.2450 0.9304  4 Te 3.02-3.15, 2 Tl 3.24
Tl: 0.5000 0.0000 0.0000  6 Ho 3.24-3.49, 4 Te 3.29
Te: 0.8886 0.8008 0.7773  3 Ho 3.06-3.15, 2 Tl 3.29
Te: 0.8164 0.2166 0.6328  4 Ho 2.99-3.09
Te: 0.1836 0.7834 0.3672  4 Ho 2.99-3.09
Te: 0.5000 0.5000 0.0000  4 Ho 3.03
Te: 0.1114 0.1992 0.2227  3 Ho 3.06-3.15, 2 Tl 3.29


# 3
Below is an optimized crystal structure of ScZn3Pb, with properties calculated at the PBE level.

Summary:
Its formation energy is 0.637 eV/atom. Its density of states at the Fermi level is 3.8 states/eV per cell. Its crystal system is cubic. Its space-group type is Pm-3m (221).

Cell: 5.1804 5.1804 5.1804 Å, 90.00 90.00 90.00°
Last column: nearest neighbours and their distance in Å.
Sites, in units of the cell vectors:
Pb: 0.5000 0.5000 0.5000  12 Zn 3.66
Sc: 0.0000 0.0000 0.0000  6 Zn 2.59
Zn: 0.0000 0.5000 0.0000  2 Sc 2.59
Zn: 0.0000 0.0000 0.5000  2 Sc 2.59
Zn: 0.5000 0.0000 0.0000  2 Sc 2.59


# 4
Below is an optimized crystal structure of Y4AlCd, with properties calculated at the PBE level.

Summary:
Its formation energy is 0.001 eV/atom. Its density of states at the Fermi level is 9.1 states/eV per cell. Its crystal system is trigonal. Its space-group type is R-3m (166).

Cell: 5.0920 5.0947 8.8879 Å, 73.40 73.35 60.02°
Last column: nearest neighbours and their distance in Å.
Sites, in units of the cell vectors:
Y: 0.6269 0.6268 0.1194  3 Al 3.11, 1 Cd 3.19
Y: 0.3731 0.3732 0.8806  3 Al 3.11, 1 Cd 3.19
Y: 0.1225 0.1224 0.6327  1 Al 3.08, 3 Cd 3.14
Y: 0.8775 0.8776 0.3673  1 Al 3.08, 3 Cd 3.14
Al: 0.0000 0.0000 0.0000  8 Y 3.08-3.11
Cd: 0.5000 0.5000 0.5000  8 Y 3.14-3.19


Please write out number 4 again, unchanged.
Below is an optimized crystal structure of Y4AlCd, with properties calculated at the PBE level.

Summary:
Its formation energy is 0.001 eV/atom. Its density of states at the Fermi level is 9.1 states/eV per cell. Its crystal system is trigonal. Its space-group type is R-3m (166).

Cell: 5.0920 5.0947 8.8879 Å, 73.40 73.35 60.02°
Last column: nearest neighbours and their distance in Å.
Sites, in units of the cell vectors:
Y: 0.6269 0.6268 0.1194  3 Al 3.11, 1 Cd 3.19
Y: 0.3731 0.3732 0.8806  3 Al 3.11, 1 Cd 3.19
Y: 0.1225 0.1224 0.6327  1 Al 3.08, 3 Cd 3.14
Y: 0.8775 0.8776 0.3673  1 Al 3.08, 3 Cd 3.14
Al: 0.0000 0.0000 0.0000  8 Y 3.08-3.11
Cd: 0.5000 0.5000 0.5000  8 Y 3.14-3.19


What did the first record say?
Below is an optimized crystal structure of LiAc2TiSe6, with properties calculated at the PBE level.

Summary:
Its density of states at the Fermi level is 10.0 states/eV per cell. Its crystal system is monoclinic. The raw formation energy is -1.5074 eV per atom. Its space-group type is P2_1/c (14).

Cell: 6.4794 7.8292 10.0578 Å, 90.00 90.41 90.00°
Last column: nearest neighbours and their distance in Å.
Sites, in units of the cell vectors:
Li: 0.5000 0.0000 0.5000  6 Se 2.60-2.79
Li: 0.0000 0.5000 0.0000  6 Se 2.60-2.79
Ac: 0.0520 0.8963 0.2533  8 Se 3.11-3.33
Ac: 0.5520 0.6037 0.7533  8 Se 3.11-3.33
Ac: 0.9480 0.1037 0.7467  8 Se 3.11-3.33
Ac: 0.4480 0.3963 0.2467  8 Se 3.11-3.33
Ti: 0.5000 0.0000 0.0000  6 Se 2.54-2.60
Ti: 0.0000 0.5000 0.5000  6 Se 2.54-2.60
Se: 0.3359 0.7025 0.0424  1 Ti 2.60, 1 Li 2.72
Se: 0.8359 0.7975 0.5424  1 Ti 2.60, 1 Li 2.72
Se: 0.6641 0.2975 0.9576  1 Ti 2.60, 1 Li 2.72
Se: 0.1641 0.2025 0.4576  1 Ti 2.60, 1 Li 2.72
Se: 0.3312 0.6758 0.4583  1 Ti 2.59, 1 Li 2.79
Se: 0.8312 0.8242 0.9583  1 Ti 2.59, 1 Li 2.79
Se: 0.6688 0.3242 0.5417  1 Ti 2.59, 1 Li 2.79
Se: 0.1688 0.1758 0.0417  1 Ti 2.59, 1 Li 2.79
Se: 0.9171 0.5154 0.2526  1 Ti 2.54, 1 Li 2.60
Se: 0.4171 0.9846 0.7526  1 Ti 2.54, 1 Li 2.60
Se: 0.0829 0.4846 0.7474  1 Ti 2.54, 1 Li 2.60
Se: 0.5829 0.0154 0.2474  1 Ti 2.54, 1 Li 2.60


Which formula does entry 3 have?
ScZn3Pb